1.
The following is a GGA-PBE calculation of a geometry-optimized LaFeRh2 structure, from Alexandria via LeMat-Bulk.

Cell and atoms, written as extended XYZ:
```
4
Lattice="-1.135 -1.718 -2.355 2.937 1.164 -2.265 3.327 -4.759 1.869" Properties=species:S:1:pos:R:3 pbc="T T T"
Rh 1.868 -1.660 -1.767
Rh 0.056 -0.079 0.031
La 3.483 -3.971 -0.860
Fe 1.386 -1.983 0.779
```

Symmetry: Pmm2 (25)
Calculated total energy, eV per atom: -7.04

=====

2.
The following is a GGA-PBE calculation of a geometry-optimized La2FeRh structure, from Alexandria via LeMat-Bulk.

Cell and atoms, written as extended XYZ:
```
4
Lattice="-2.377 -3.931 4.042 -3.990 -4.382 -1.524 5.384 2.322 -1.748" Properties=species:S:1:pos:R:3 pbc="T T T"
Rh -3.183 -4.156 1.259
Fe -0.088 -2.882 1.776
La 0.000 0.000 0.000
La -0.894 -3.108 -1.007
```

Symmetry: I-4m2 (119)
Calculated total energy, eV per atom: -6.46

=====

Number 1: energy relative to the lowest polymorph listed for this composition 287 meV/atom, formation energy -0.1 eV per formula unit, N(E_F) 3.8 states/eV/f.u.. Number 2: energy relative to the lowest polymorph listed for this composition 210 meV/atom, formation energy -0.2 eV per formula unit, N(E_F) 5.0 states/eV/f.u..